1.
Entry from the Alexandria database: a relaxed Tb9Sm4Y11 crystal (PBE).

It has space group Cmmm (No. 65), with a = 16.7521 Å, b = 25.2236 Å, c = 3.7147 Å, α = 90.00°, β = 90.00° and γ = 90.00°. The asymmetric unit holds Tb at (0.0000, 0.0000, 0.0000), Tb at (0.1018, 0.2351, 0.0000), Tb at (0.1402, 0.4273, 0.0000), Sm at (0.1543, 0.1006, 0.0000), Y at (0.0000, 0.1345, 0.5000), Y at (0.0000, 0.3407, 0.5000), Y at (0.0000, 0.5000, 0.5000), Y at (0.2105, 0.0000, 0.5000) and Y at (0.2260, 0.3191, 0.5000).

The crystal system is orthorhombic. The value obtained for the total magnetic moment is 0.1 μB per cell. The density of states at the Fermi level comes out at 62.17 states/eV per cell. For the volume, the calculation gives 32.70 Å³/atom. The total energy comes out at -260.83 eV for the cell shown. The energy of formation from the pure elements is 1.24 eV/f.u.

---

2.
Entry from the Alexandria database: a relaxed Tb3SmY2 crystal (PBE).

It has space group C2/c (No. 15), with a = 17.7696 Å, b = 7.2155 Å, c = 6.2405 Å, α = 90.00°, β = 103.55° and γ = 90.00°. The asymmetric unit holds Tb at (0.0000, 0.1244, 0.2500), Tb at (0.1670, 0.1245, 0.0276), Sm at (0.0000, 0.3743, 0.7500) and Y at (0.1675, 0.3746, 0.5290).

The crystal system is monoclinic. The value obtained for the total magnetic moment is 0.0 μB per cell. The density of states at the Fermi level comes out at 32.64 states/eV per cell. For the volume, the calculation gives 32.41 Å³/atom. The total energy comes out at -126.21 eV for the cell shown. The energy of formation from the pure elements is -0.01 eV/f.u.

---

volume of number 2 (Tb3SmY2)?
32.41 Å³/atom

---

Among the records above, which one has the highest volume?
Tb9Sm4Y11

---

Which formula does entry 1 have?
Tb9Sm4Y11